# 1
# La2Sm6Zn GGA-PBE relaxed
data_La2Sm6Zn
_chemical_formula_sum 'La4 Sm12 Zn2'
_space_group_name_H-M_alt 'C 1 2/m 1'
_space_group_IT_number 12
_space_group_name_Hall '-C 2y'
_cell_length_a 17.494
_cell_length_b 9.678
_cell_length_c 3.577
_cell_angle_alpha 90.00
_cell_angle_beta 90.14
_cell_angle_gamma 90.00
loop_
_atom_site_label
_atom_site_type_symbol
_atom_site_fract_x
_atom_site_fract_y
_atom_site_fract_z
La1 La 0.170 0.000 0.498
Sm1 Sm 0.000 0.229 0.500
Sm2 Sm 0.162 0.330 0.001
Zn1 Zn 0.000 0.500 0.000
# DFT formation energy = 0.093 eV per atom
# N(E_F) = 1.50 states/eV/atom

# 2
# Nb2VCoGe GGA-PBE relaxed
data_Nb2VCoGe
_chemical_formula_sum 'Nb2 V1 Co1 Ge1'
_space_group_name_H-M_alt 'P 4/m m m'
_space_group_IT_number 123
_space_group_name_Hall '-P 4 2'
_cell_length_a 4.671
_cell_length_b 4.671
_cell_length_c 4.155
_cell_angle_alpha 90.00
_cell_angle_beta 90.00
_cell_angle_gamma 90.00
loop_
_atom_site_label
_atom_site_type_symbol
_atom_site_fract_x
_atom_site_fract_y
_atom_site_fract_z
Nb1 Nb 0.000 0.500 0.000
V1 V 0.000 0.000 0.000
Co1 Co 0.000 0.000 0.500
Ge1 Ge 0.500 0.500 0.500
# DFT formation energy = 0.944 eV per atom
# N(E_F) = 1.21 states/eV/atom

# 3
# Ac6Ge5 GGA-PBE relaxed
data_Ac6Ge5
_chemical_formula_sum 'Ac12 Ge10'
_space_group_name_H-M_alt 'C 1 2/m 1'
_space_group_IT_number 12
_space_group_name_Hall '-C 2y'
_cell_length_a 7.991
_cell_length_b 13.913
_cell_length_c 7.821
_cell_angle_alpha 90.00
_cell_angle_beta 109.94
_cell_angle_gamma 90.00
loop_
_atom_site_label
_atom_site_type_symbol
_atom_site_fract_x
_atom_site_fract_y
_atom_site_fract_z
Ac1 Ac 0.241 0.172 0.240
Ac2 Ac 0.242 0.000 0.754
Ge1 Ge 0.000 0.000 0.000
Ge2 Ge 0.000 0.168 0.500
Ge3 Ge 0.000 0.340 0.000
# DFT formation energy = -0.547 eV per atom
# N(E_F) = 1.06 states/eV/atom

# 4
# Li2ZrSb GGA-PBE relaxed
data_Li2ZrSb
_chemical_formula_sum 'Li8 Zr4 Sb4'
_space_group_name_H-M_alt 'I -4 2 d'
_space_group_IT_number 122
_space_group_name_Hall 'I -4 2bw'
_cell_length_a 4.075
_cell_length_b 4.075
_cell_length_c 21.555
_cell_angle_alpha 90.00
_cell_angle_beta 90.00
_cell_angle_gamma 90.00
loop_
_atom_site_label
_atom_site_type_symbol
_atom_site_fract_x
_atom_site_fract_y
_atom_site_fract_z
Li1 Li 0.237 0.250 0.125
Zr1 Zr 0.000 0.000 0.500
Sb1 Sb 0.000 0.000 0.000
# energy relative to the elements, uncorrected = -0.143 eV per atom
# N(E_F) = 0.66 states/eV/atom

# 5
# PmCu4Ag3O12 GGA-PBE relaxed
data_PmCu4Ag3O12
_chemical_formula_sum 'Pm2 Cu8 Ag6 O24'
_space_group_name_H-M_alt 'I m -3'
_space_group_IT_number 204
_space_group_name_Hall '-I 2 2 3'
_cell_length_a 7.543
_cell_length_b 7.543
_cell_length_c 7.543
_cell_angle_alpha 90.00
_cell_angle_beta 90.00
_cell_angle_gamma 90.00
loop_
_atom_site_label
_atom_site_type_symbol
_atom_site_fract_x
_atom_site_fract_y
_atom_site_fract_z
Pm1 Pm 0.000 0.000 0.000
Cu1 Cu 0.250 0.250 0.250
Ag1 Ag 0.000 0.000 0.500
O1 O 0.000 0.180 0.294
# energy relative to the elements, uncorrected = -0.659 eV per atom
# N(E_F) = 0.33 states/eV/atom

# 6
# TeRhAu GGA-PBE relaxed
data_TeRhAu
_chemical_formula_sum 'Te2 Rh2 Au2'
_space_group_name_H-M_alt 'C 1 m 1'
_space_group_IT_number 8
_space_group_name_Hall 'C -2y'
_cell_length_a 6.309
_cell_length_b 3.635
_cell_length_c 6.367
_cell_angle_alpha 90.00
_cell_angle_beta 109.11
_cell_angle_gamma 90.00
loop_
_atom_site_label
_atom_site_type_symbol
_atom_site_fract_x
_atom_site_fract_y
_atom_site_fract_z
Te1 Te 0.000 0.000 0.000
Rh1 Rh 0.411 0.000 0.237
Au1 Au 0.343 0.500 0.537
# E above lowest polymorph = 0 meV/atom
# energy relative to the elements, uncorrected = -0.073 eV per atom
# N(E_F) = 0.21 states/eV/atom

# 7
# Ta5Cr4 GGA-PBE relaxed
data_Ta5Cr4
_chemical_formula_sum 'Ta10 Cr8'
_space_group_name_H-M_alt 'P 63/m c m'
_space_group_IT_number 193
_space_group_name_Hall '-P 6c 2'
_cell_length_a 7.8096
_cell_length_b 7.8096
_cell_length_c 5.3412
_cell_angle_alpha 90.00
_cell_angle_beta 90.00
_cell_angle_gamma 120.00
loop_
_atom_site_label
_atom_site_type_symbol
_atom_site_fract_x
_atom_site_fract_y
_atom_site_fract_z
Ta1 Ta 0.0000 0.2844 0.2500
Ta2 Ta 0.3333 0.6667 0.0000
Cr1 Cr 0.0000 0.0000 0.0000
Cr2 Cr 0.0000 0.3830 0.7500
# DFT formation energy = 0.261 eV per atom
# E above lowest polymorph = 123 meV/atom
# N(E_F) = 1.33 states/eV/atom

# 8
# Na2CoGe3Pt4 GGA-PBE relaxed
data_Na2CoGe3Pt4
_chemical_formula_sum 'Na2 Co1 Ge3 Pt4'
_space_group_name_H-M_alt 'P -4 m 2'
_space_group_IT_number 115
_space_group_name_Hall 'P -4 -2'
_cell_length_a 4.081
_cell_length_b 4.081
_cell_length_c 10.836
_cell_angle_alpha 90.00
_cell_angle_beta 90.00
_cell_angle_gamma 90.00
loop_
_atom_site_label
_atom_site_type_symbol
_atom_site_fract_x
_atom_site_fract_y
_atom_site_fract_z
Na1 Na 0.000 0.500 0.243
Co1 Co 0.500 0.500 0.000
Ge1 Ge 0.000 0.000 0.000
Ge2 Ge 0.000 0.500 0.641
Pt1 Pt 0.000 0.000 0.500
Pt2 Pt 0.000 0.500 0.865
Pt3 Pt 0.500 0.500 0.500
# DFT formation energy = -0.376 eV per atom
# N(E_F) = 0.65 states/eV/atom

# 9
# ReSi2Sb GGA-PBE relaxed
data_ReSi2Sb
_chemical_formula_sum 'Re1 Si2 Sb1'
_space_group_name_H-M_alt 'P 4/m m m'
_space_group_IT_number 123
_space_group_name_Hall '-P 4 2'
_cell_length_a 4.010
_cell_length_b 4.010
_cell_length_c 4.135
_cell_angle_alpha 90.00
_cell_angle_beta 90.00
_cell_angle_gamma 90.00
loop_
_atom_site_label
_atom_site_type_symbol
_atom_site_fract_x
_atom_site_fract_y
_atom_site_fract_z
Re1 Re 0.000 0.000 0.000
Si1 Si 0.000 0.500 0.500
Sb1 Sb 0.500 0.500 0.000
# energy relative to the elements, uncorrected = 0.868 eV per atom
# N(E_F) = 0.58 states/eV/atom

# 10
# K2PHPt GGA-PBE relaxed
data_K2PHPt
_chemical_formula_sum 'K2 P1 H1 Pt1'
_space_group_name_H-M_alt 'P 4/m m m'
_space_group_IT_number 123
_space_group_name_Hall '-P 4 2'
_cell_length_a 6.294
_cell_length_b 6.294
_cell_length_c 4.329
_cell_angle_alpha 90.00
_cell_angle_beta 90.00
_cell_angle_gamma 90.00
loop_
_atom_site_label
_atom_site_type_symbol
_atom_site_fract_x
_atom_site_fract_y
_atom_site_fract_z
K1 K 0.000 0.500 0.000
P1 P 0.000 0.000 0.000
H1 H 0.500 0.500 0.500
Pt1 Pt 0.000 0.000 0.500
# uncorrected energy = -3.4821 eV per atom
# N(E_F) = 0.50 states/eV/atom

# 11
# CeGdLuAg GGA-PBE relaxed
data_CeGdLuAg
_chemical_formula_sum 'Ce4 Gd4 Lu4 Ag4'
_space_group_name_H-M_alt 'F -4 3 m'
_space_group_IT_number 216
_space_group_name_Hall 'F -4 2 3'
_cell_length_a 7.492
_cell_length_b 7.492
_cell_length_c 7.492
_cell_angle_alpha 90.00
_cell_angle_beta 90.00
_cell_angle_gamma 90.00
loop_
_atom_site_label
_atom_site_type_symbol
_atom_site_fract_x
_atom_site_fract_y
_atom_site_fract_z
Ce1 Ce 0.000 0.000 0.000
Gd1 Gd 0.250 0.250 0.750
Lu1 Lu 0.250 0.250 0.250
Ag1 Ag 0.000 0.000 0.500
# DFT formation energy = 0.109 eV per atom
# N(E_F) = 1.80 states/eV/atom

# 12
# La2Tb3HoEr6 GGA-PBE relaxed
data_La2Tb3HoEr6
_chemical_formula_sum 'La4 Tb6 Ho2 Er12'
_space_group_name_H-M_alt 'C 1 2/m 1'
_space_group_IT_number 12
_space_group_name_Hall '-C 2y'
_cell_length_a 6.179
_cell_length_b 10.697
_cell_length_c 11.756
_cell_angle_alpha 90.00
_cell_angle_beta 100.05
_cell_angle_gamma 90.00
loop_
_atom_site_label
_atom_site_type_symbol
_atom_site_fract_x
_atom_site_fract_y
_atom_site_fract_z
La1 La 0.000 0.166 0.000
Tb1 Tb 0.000 0.000 0.500
Tb2 Tb 0.000 0.333 0.500
Ho1 Ho 0.000 0.500 0.000
Er1 Er 0.247 0.500 0.746
Er2 Er 0.249 0.166 0.747
# DFT formation energy = 0.022 eV per atom
# N(E_F) = 1.27 states/eV/atom

The highest N(E_F) belongs to which entry? CeGdLuAg

Look up the N(E_F) of the eighth one. 0.65 states/eV/atom

N(E_F) of number 2 (Nb2VCoGe)? 1.21 states/eV/atom